The following is a DFT calculation (PBE) of a relaxed RbLi crystal.

## Properties
uncorrected energy = -10.3 eV per cell
energy of formation = 0.298 eV/f.u.

Lattice parameters (Å, degrees): 6.1898 6.1803 11.3551 90.00 105.18 90.00
Last column: nearest neighbours and their distance in Å.
Space group Cm (No. 8)
Asymmetric unit:
Rb1 0.0000 0.0000 0.0000 [2 per cell]  4 Li 3.97-4.05, 4 Rb 4.37
Rb2 0.1963 0.5000 0.3874 [2 per cell]  4 Li 3.99-4.03, 4 Rb 4.37
Li1 0.0842 0.2512 0.6937 [4 per cell]  4 Li 3.08-3.11